[1]
The following is a PBE calculation of a relaxed YTc4B4 crystal, from the Alexandria database.

Summary:
**SG**: P4_2/n
**Calculated total energy**: -78.46 eV/f.u.

Cell: 4.2540 7.3687 7.3687 Å, 90.00 90.00 90.00°
With the nearest neighbours (Å) after each atom.
Fractional positions:
B (0.1307, 0.1848, 0.3243)  1 B 1.78
B (0.8693, 0.3243, 0.8152)  1 B 1.78
B (0.1307, 0.8152, 0.6757)  1 B 1.78
B (0.3693, 0.6848, 0.8243)  1 B 1.78
B (0.8693, 0.6757, 0.1848)  1 B 1.78
B (0.6307, 0.8243, 0.3152)  1 B 1.78
B (0.6307, 0.1757, 0.6848)  1 B 1.78
B (0.3693, 0.3152, 0.1757)  1 B 1.78
Tc (0.3680, 0.3668, 0.8745)  5 B 2.19-2.37
Tc (0.6320, 0.1255, 0.3668)  5 B 2.19-2.37
Tc (0.3680, 0.6332, 0.1255)  5 B 2.19-2.37
Tc (0.1320, 0.8668, 0.3745)  5 B 2.19-2.37
Tc (0.8680, 0.3745, 0.1332)  5 B 2.19-2.37
Tc (0.6320, 0.8745, 0.6332)  5 B 2.19-2.37
Tc (0.8680, 0.6255, 0.8668)  5 B 2.19-2.37
Tc (0.1320, 0.1332, 0.6255)  5 B 2.19-2.37
Y (0.0000, 0.0000, 0.0000)  8 B 2.81-3.09, 4 Tc 2.98
Y (0.5000, 0.5000, 0.5000)  8 B 2.81-3.09, 4 Tc 2.98

---

[2]
The following is a PBE calculation of a relaxed Y2TcB2 crystal, from the Alexandria database.

Summary:
**Relative energy among the computed polymorphs**: 0.000 eV/atom
**SG**: P4/mbm
**Calculated total energy**: -36.75 eV/f.u.

Cell: 6.5348 6.5348 3.7027 Å, 90.00 90.00 90.00°
With the nearest neighbours (Å) after each atom.
Fractional positions:
B (0.3458, 0.8458, 0.0000)  2 Tc 2.47, 6 Y 2.54-2.75
B (0.6542, 0.1542, 0.0000)  2 Tc 2.47, 6 Y 2.54-2.75
B (0.8458, 0.6542, 0.0000)  2 Tc 2.47, 6 Y 2.54-2.75
B (0.1542, 0.3458, 0.0000)  2 Tc 2.47, 6 Y 2.54-2.75
Y (0.1573, 0.6573, 0.5000)  6 B 2.54-2.75
Y (0.3427, 0.1573, 0.5000)  6 B 2.54-2.75
Y (0.6573, 0.8427, 0.5000)  6 B 2.54-2.75
Y (0.8427, 0.3427, 0.5000)  6 B 2.54-2.75
Tc (0.0000, 0.0000, 0.0000)  4 B 2.47
Tc (0.5000, 0.5000, 0.0000)  4 B 2.47

---

[3]
The following is a PBE calculation of a relaxed Y2TcB6 crystal, from the Alexandria database.

Summary:
**SG**: C2/m
**Calculated total energy**: -64.32 eV/f.u.

Cell: 5.5849 4.8631 5.1404 Å, 118.23 70.87 90.00°
With the nearest neighbours (Å) after each atom.
Fractional positions:
Y (0.8128, 0.3793, 0.7585)  7 B 2.65-2.93
Y (0.1872, 0.6207, 0.2415)  7 B 2.65-2.93
B (0.6207, 0.3251, 0.3029)  3 B 1.64-1.78
B (0.3793, 0.6749, 0.6971)  3 B 1.64-1.78
B (0.3706, 0.3062, 0.6123)  4 B 1.64-1.78
B (0.3793, 0.0222, 0.6971)  3 B 1.64-1.78
B (0.6207, 0.9778, 0.3029)  3 B 1.64-1.78
B (0.6294, 0.6938, 0.3877)  4 B 1.64-1.78
Tc (0.0000, 0.0000, 0.0000)  4 B 2.22

---

[4]
The following is a PBE calculation of a relaxed YZnTcB2 crystal, from the Alexandria database.

Summary:
**SG**: P4/mmm
**Calculated total energy**: -25.66 eV/f.u.

Cell: 4.0727 4.7520 4.0727 Å, 90.00 90.00 90.00°
With the nearest neighbours (Å) after each atom.
Fractional positions:
B (0.0000, 0.0000, 0.5000)  2 Zn 2.04
B (0.5000, 0.0000, 0.0000)  2 Zn 2.04
Tc (0.0000, 0.5000, 0.0000)  2 Zn 2.38
Zn (0.0000, 0.0000, 0.0000)  4 B 2.04
Y (0.5000, 0.5000, 0.5000)  4 Tc 2.88, 8 B 3.13

---

[5]
The following is a PBE calculation of a relaxed YZr2TcB crystal, from the Alexandria database.

Summary:
**SG**: P4/mmm
**Calculated total energy**: -37.89 eV/f.u.

Cell: 5.0642 4.3128 5.0642 Å, 90.00 90.00 90.00°
With the nearest neighbours (Å) after each atom.
Fractional positions:
Tc (0.0000, 0.0000, 0.0000)  2 B 2.16
B (0.0000, 0.5000, 0.0000)  2 Tc 2.16
Zr (0.5000, 0.0000, 0.0000)  2 Tc 2.53
Zr (0.0000, 0.0000, 0.5000)  2 Tc 2.53
Y (0.5000, 0.5000, 0.5000)  8 Zr 3.33, 4 B 3.58

---

[6]
The following is a PBE calculation of a relaxed ZnTc3B crystal, from the Alexandria database.

Summary:
**Relative energy among the computed polymorphs**: 2.271 eV/atom
**SG**: Pm-3m
**Calculated total energy**: -26.41 eV/f.u.

Cell: 4.4950 4.4950 4.4950 Å, 90.00 90.00 90.00°
With the nearest neighbours (Å) after each atom.
Fractional positions:
Tc (0.0000, 0.5000, 0.0000)  2 Zn 2.25
Tc (0.0000, 0.0000, 0.5000)  2 Zn 2.25
Tc (0.5000, 0.0000, 0.0000)  2 Zn 2.25
B (0.5000, 0.5000, 0.5000)  12 Tc 3.18
Zn (0.0000, 0.0000, 0.0000)  6 Tc 2.25

---

[7]
The following is a PBE calculation of a relaxed Zn2TcB crystal, from the Alexandria database.

Summary:
**SG**: I-42d
**Calculated total energy**: -18.00 eV/f.u.

Cell: 6.7810 6.7810 5.2891 Å, 50.13 50.13 90.00°
With the nearest neighbours (Å) after each atom.
Fractional positions:
B (0.2500, 0.7500, 0.5000)  4 Zn 2.17, 2 Tc 2.23
B (0.5000, 0.5000, 0.0000)  4 Zn 2.17, 2 Tc 2.23
Zn (0.8750, 0.8076, 0.7500)  2 B 2.17, 2 Zn 2.41
Zn (0.3750, 0.4424, 0.7500)  2 B 2.17, 2 Zn 2.41
Zn (0.5576, 0.1250, 0.2500)  2 B 2.17, 2 Zn 2.41
Zn (0.1924, 0.6250, 0.2500)  2 B 2.17, 2 Zn 2.41
Tc (0.7500, 0.2500, 0.5000)  2 B 2.23
Tc (0.0000, 0.0000, 0.0000)  2 B 2.23

---

[8]
The following is a PBE calculation of a relaxed Zn3TcB crystal, from the Alexandria database.

Summary:
**Relative energy among the computed polymorphs**: 0.953 eV/atom
**SG**: Pm-3m
**Calculated total energy**: -12.62 eV/f.u.

Cell: 4.8092 4.8092 4.8092 Å, 90.00 90.00 90.00°
With the nearest neighbours (Å) after each atom.
Fractional positions:
Tc (0.0000, 0.0000, 0.0000)  6 Zn 2.40
Zn (0.0000, 0.5000, 0.0000)  2 Tc 2.40
Zn (0.0000, 0.0000, 0.5000)  2 Tc 2.40
Zn (0.5000, 0.0000, 0.0000)  2 Tc 2.40
B (0.5000, 0.5000, 0.5000)  12 Zn 3.40

---

[9]
The following is a PBE calculation of a relaxed ZnTcB2 crystal, from the Alexandria database.

Summary:
**SG**: I-42d
**Calculated total energy**: -21.69 eV/f.u.

Cell: 5.0622 5.0622 5.6747 Å, 63.51 63.51 90.00°
With the nearest neighbours (Å) after each atom.
Fractional positions:
B (0.0945, 0.6250, 0.2500)  2 Tc 2.01, 2 Zn 2.20
B (0.3750, 0.3445, 0.7500)  2 Tc 2.01, 2 Zn 2.20
B (0.8750, 0.9055, 0.7500)  2 Tc 2.01, 2 Zn 2.20
B (0.6555, 0.1250, 0.2500)  2 Tc 2.01, 2 Zn 2.20
Zn (0.5000, 0.5000, 0.0000)  4 B 2.20
Zn (0.2500, 0.7500, 0.5000)  4 B 2.20
Tc (0.0000, 0.0000, 0.0000)  4 B 2.01
Tc (0.7500, 0.2500, 0.5000)  4 B 2.01

---

[10]
The following is a PBE calculation of a relaxed Zn3TcB crystal, from the Alexandria database.

Summary:
**Relative energy among the computed polymorphs**: 0.000 eV/atom
**SG**: Pm-3m
**Calculated total energy**: -17.38 eV/f.u.

Cell: 4.1045 4.1045 4.1045 Å, 90.00 90.00 90.00°
With the nearest neighbours (Å) after each atom.
Fractional positions:
Zn (0.0000, 0.0000, 0.5000)  2 B 2.05
Zn (0.5000, 0.0000, 0.0000)  2 B 2.05
Zn (0.0000, 0.5000, 0.0000)  2 B 2.05
Tc (0.5000, 0.5000, 0.5000)  12 Zn 2.90
B (0.0000, 0.0000, 0.0000)  6 Zn 2.05

---

[11]
The following is a PBE calculation of a relaxed ZnTc2B2 crystal, from the Alexandria database.

Summary:
**SG**: P4/mbm
**Calculated total energy**: -36.66 eV/f.u.

Cell: 5.8359 5.8359 3.0919 Å, 90.00 90.00 90.00°
With the nearest neighbours (Å) after each atom.
Fractional positions:
B (0.3869, 0.8869, 0.0000)  1 B 1.87
B (0.1131, 0.3869, 0.0000)  1 B 1.87
B (0.8869, 0.6131, 0.0000)  1 B 1.87
B (0.6131, 0.1131, 0.0000)  1 B 1.87
Tc (0.8282, 0.3282, 0.5000)  6 B 2.30-2.35
Tc (0.6718, 0.8282, 0.5000)  6 B 2.30-2.35
Tc (0.3282, 0.1718, 0.5000)  6 B 2.30-2.35
Tc (0.1718, 0.6718, 0.5000)  6 B 2.30-2.35
Zn (0.0000, 0.0000, 0.0000)  4 B 2.35
Zn (0.5000, 0.5000, 0.0000)  4 B 2.35

---

[12]
The following is a PBE calculation of a relaxed ZnTcB crystal, from the Alexandria database.

Summary:
**SG**: Cmcm
**Calculated total energy**: -18.53 eV/f.u.

Cell: 3.0037 3.0031 8.5492 Å, 79.88 90.00 90.00°
With the nearest neighbours (Å) after each atom.
Fractional positions:
Zn (0.2500, 0.2995, 0.4010)  2 Tc 2.64, 4 Zn 2.70
Zn (0.7500, 0.7005, 0.5990)  2 Tc 2.64, 4 Zn 2.70
Tc (0.2500, 0.9286, 0.1428)  6 B 2.22-2.30
Tc (0.7500, 0.0714, 0.8572)  6 B 2.22-2.30
B (0.2500, 0.5324, 0.9353)  2 B 1.86
B (0.7500, 0.4676, 0.0647)  2 B 1.86

---

[13]
The following is a PBE calculation of a relaxed ZnTc3B crystal, from the Alexandria database.

Summary:
**Relative energy among the computed polymorphs**: 0.000 eV/atom
**SG**: Pm-3m
**Calculated total energy**: -37.77 eV/f.u.

Cell: 4.1048 4.1048 4.1048 Å, 90.00 90.00 90.00°
With the nearest neighbours (Å) after each atom.
Fractional positions:
B (0.0000, 0.0000, 0.0000)  6 Tc 2.05
Tc (0.0000, 0.0000, 0.5000)  2 B 2.05
Tc (0.5000, 0.0000, 0.0000)  2 B 2.05
Tc (0.0000, 0.5000, 0.0000)  2 B 2.05
Zn (0.5000, 0.5000, 0.5000)  12 Tc 2.90

---

[14]
The following is a PBE calculation of a relaxed ZrZnTc2B crystal, from the Alexandria database.

Summary:
**SG**: P4/mmm
**Calculated total energy**: -37.70 eV/f.u.

Cell: 4.2829 3.9563 4.2829 Å, 90.00 90.00 90.00°
With the nearest neighbours (Å) after each atom.
Fractional positions:
Tc (0.0000, 0.0000, 0.5000)  2 B 2.14
Tc (0.5000, 0.0000, 0.0000)  2 B 2.14
B (0.0000, 0.0000, 0.0000)  2 Zn 1.98, 4 Tc 2.14
Zr (0.5000, 0.5000, 0.5000)  8 Tc 2.92, 4 Zn 3.03
Zn (0.0000, 0.5000, 0.0000)  2 B 1.98

---

[15]
The following is a PBE calculation of a relaxed ZrZnTcB2 crystal, from the Alexandria database.

Summary:
**SG**: P4/mmm
**Calculated total energy**: -24.19 eV/f.u.

Cell: 4.2733 4.9387 4.2733 Å, 90.00 90.00 90.00°
With the nearest neighbours (Å) after each atom.
Fractional positions:
Zn (0.0000, 0.5000, 0.0000)  2 Zr 2.47
Tc (0.5000, 0.5000, 0.5000)  4 Zn 3.02, 8 B 3.27
B (0.0000, 0.0000, 0.5000)  2 Zr 2.14
B (0.5000, 0.0000, 0.0000)  2 Zr 2.14
Zr (0.0000, 0.0000, 0.0000)  4 B 2.14

---

[16]
The following is a PBE calculation of a relaxed ZrTcB2 crystal, from the Alexandria database.

Summary:
**Relative energy among the computed polymorphs**: 0.482 eV/atom
**SG**: I4_1/amd
**Calculated total energy**: -31.83 eV/f.u.

Cell: 3.9170 3.9170 7.8716 Å, 75.59 75.59 90.00°
With the nearest neighbours (Å) after each atom.
Fractional positions:
Tc (0.0000, 0.0000, 0.0000)  4 B 2.09
Tc (0.7500, 0.2500, 0.5000)  4 B 2.09
Zr (0.2500, 0.7500, 0.5000)  4 Tc 2.77, 8 B 2.86
Zr (0.5000, 0.5000, 0.0000)  4 Tc 2.77, 8 B 2.86
B (0.3750, 0.1252, 0.7500)  2 B 1.96, 2 Tc 2.09
B (0.8752, 0.6250, 0.2500)  2 B 1.96, 2 Tc 2.09
B (0.8748, 0.1250, 0.2500)  2 B 1.96, 2 Tc 2.09
B (0.8750, 0.1248, 0.7500)  2 B 1.96, 2 Tc 2.09

---

[17]
The following is a PBE calculation of a relaxed ZrTcB3 crystal, from the Alexandria database.

Summary:
**Relative energy among the computed polymorphs**: 1.077 eV/atom
**SG**: Pm-3m
**Calculated total energy**: -36.99 eV/f.u.

Cell: 4.0073 4.0073 4.0073 Å, 90.00 90.00 90.00°
With the nearest neighbours (Å) after each atom.
Fractional positions:
B (0.0000, 0.5000, 0.0000)  2 Tc 2.00
B (0.0000, 0.0000, 0.5000)  2 Tc 2.00
B (0.5000, 0.0000, 0.0000)  2 Tc 2.00
Tc (0.0000, 0.0000, 0.0000)  6 B 2.00
Zr (0.5000, 0.5000, 0.5000)  12 B 2.83

---

[18]
The following is a PBE calculation of a relaxed ZrTc2B2 crystal, from the Alexandria database.

Summary:
**SG**: P4/mbm
**Calculated total energy**: -44.26 eV/f.u.

Cell: 6.3077 6.3077 3.0692 Å, 90.00 90.00 90.00°
With the nearest neighbours (Å) after each atom.
Fractional positions:
B (0.3924, 0.8924, 0.0000)  1 B 1.92
B (0.6076, 0.1076, 0.0000)  1 B 1.92
B (0.8924, 0.6076, 0.0000)  1 B 1.92
B (0.1076, 0.3924, 0.0000)  1 B 1.92
Zr (0.5000, 0.5000, 0.0000)  4 B 2.57, 8 Tc 2.82
Zr (0.0000, 0.0000, 0.0000)  4 B 2.57, 8 Tc 2.82
Tc (0.6611, 0.8389, 0.5000)  6 B 2.31-2.57
Tc (0.8389, 0.3389, 0.5000)  6 B 2.31-2.57
Tc (0.3389, 0.1611, 0.5000)  6 B 2.31-2.57
Tc (0.1611, 0.6611, 0.5000)  6 B 2.31-2.57

---

[19]
The following is a PBE calculation of a relaxed Zr3TcB crystal, from the Alexandria database.

Summary:
**Relative energy among the computed polymorphs**: 1.164 eV/atom
**SG**: Pm-3m
**Calculated total energy**: -36.43 eV/f.u.

Cell: 4.9458 4.9458 4.9458 Å, 90.00 90.00 90.00°
With the nearest neighbours (Å) after each atom.
Fractional positions:
Zr (0.5000, 0.0000, 0.0000)  2 Tc 2.47
Zr (0.0000, 0.5000, 0.0000)  2 Tc 2.47
Zr (0.0000, 0.0000, 0.5000)  2 Tc 2.47
B (0.5000, 0.5000, 0.5000)  12 Zr 3.50
Tc (0.0000, 0.0000, 0.0000)  6 Zr 2.47

---

[20]
The following is a PBE calculation of a relaxed ZrTcB crystal, from the Alexandria database.

Summary:
**SG**: Cmce
**Calculated total energy**: -27.12 eV/f.u.

Cell: 5.3998 5.7515 6.1945 Å, 90.00 90.00 118.00°
With the nearest neighbours (Å) after each atom.
Fractional positions:
Zr (0.8180, 0.6360, 0.4100)  2 B 2.50
Zr (0.3180, 0.6360, 0.0900)  2 B 2.50
Zr (0.1820, 0.3640, 0.5900)  2 B 2.50
Zr (0.6820, 0.3640, 0.9100)  2 B 2.50
B (0.4148, 0.8297, 0.4609)  1 B 1.80
B (0.5852, 0.1703, 0.5391)  1 B 1.80
B (0.0852, 0.1703, 0.9609)  1 B 1.80
B (0.9148, 0.8297, 0.0391)  1 B 1.80
Tc (0.2017, 0.9034, 0.7500)  4 B 2.27-2.32
Tc (0.2983, 0.0966, 0.2500)  4 B 2.27-2.32
Tc (0.7017, 0.9034, 0.7500)  4 B 2.27-2.32
Tc (0.7983, 0.0966, 0.2500)  4 B 2.27-2.32